Entry 1:
An optimized crystal structure of PRu2Pb, computed with GGA-PBE.

Cell: 3.134 4.347 5.269 Å, 66.57 90.00 90.00°
Element x y z (fractional)
Ru  0.500  0.000  0.500
Ru  0.000  0.000  0.000
Pb  0.000  0.500  0.500
P  0.500  0.500  0.000

* total magnetic moment: 0.0000 μB/atom
* E_form: 0.427 eV/atom
* energy relative to the lowest polymorph listed for this composition: 0.508 eV/atom

---

Entry 2:
An optimized crystal structure of P4RuPb, computed with GGA-PBE.

Cell: 5.304 5.304 5.304 Å, 60.00 60.00 60.00°
Element x y z (fractional)
P  0.162  0.613  0.613
P  0.613  0.613  0.162
P  0.613  0.613  0.613
P  0.613  0.162  0.613
Ru  0.000  0.000  0.000
Pb  0.250  0.250  0.250

* total magnetic moment: 0.0002 μB/atom
* E_form: 0.819 eV/atom